## MgCr2W (PBE-GGA)

Data for a geometry-optimized MgCr2W structure.

Properties
ΔE_f	31.57	kJ per mole of atoms
V	14.520	Å³ per atom
energy above the lowest structure with this stoichiometry	0.000	eV/atom

Unit cell a=3.0380 b=4.3874 c=8.7148 alpha=90.00 beta=90.00 gamma=90.00
Last column: nearest neighbours and their distance in Å.
Space group Cmm2 (No. 35)
One atom of each set of equivalent atoms:
Mg1 0.0000 0.0000 0.0000 x2  4 Mg 2.67, 2 Cr 2.77, 2 W 2.91
Cr1 0.0000 0.0000 0.5290 x2  2 Cr 2.35, 2 W 2.61
Cr2 0.0000 0.5000 0.7341 x2  2 Cr 2.35
W1 0.0000 0.5000 0.2851 x2  2 Cr 2.61, 4 W 2.67, 2 Mg 2.91